[1]
A relaxed structure of LaErGaRu. Source: the Alexandria database, functional PBE-GGA.

Properties
For the volume, the calculation gives 91 Å³/f.u. The value obtained for the formation energy is -0.368 eV per atom.

```
data_LaErGaRu
_symmetry_space_group_name_H-M 'F -4 3 m'
_symmetry_Int_Tables_number 216
_symmetry_space_group_name_Hall 'F -4 2 3'
_cell_length_a 7.1321
_cell_length_b 7.1321
_cell_length_c 7.1321
_cell_angle_alpha 90.00
_cell_angle_beta 90.00
_cell_angle_gamma 90.00
loop_
_atom_site_label
_atom_site_type_symbol
_atom_site_fract_x
_atom_site_fract_y
_atom_site_fract_z
La1 La 0.0000 0.0000 0.0000
Er1 Er 0.0000 0.0000 0.5000
Ga1 Ga 0.2500 0.2500 0.2500
Ru1 Ru 0.2500 0.2500 0.7500
```

---

[2]
A relaxed structure of Cs4NdF7. Source: the Alexandria database, functional PBE-GGA.

Properties
The uncorrected formation energy is -3.1289 eV/atom. For the volume, the calculation gives 341 Å³/f.u.

```
data_Cs4NdF7
_symmetry_space_group_name_H-M 'C 1 2/m 1'
_symmetry_Int_Tables_number 12
_symmetry_space_group_name_Hall '-C 2y'
_cell_length_a 14.8745
_cell_length_b 4.6671
_cell_length_c 11.7639
_cell_angle_alpha 90.00
_cell_angle_beta 123.39
_cell_angle_gamma 90.00
loop_
_atom_site_label
_atom_site_type_symbol
_atom_site_fract_x
_atom_site_fract_y
_atom_site_fract_z
Cs1 Cs 0.0769 0.0000 0.2241
Cs2 Cs 0.2218 0.0000 0.8416
Nd1 Nd 0.0000 0.5000 0.5000
F1 F 0.0000 0.0000 0.5000
F2 F 0.0032 0.5000 0.6968
F3 F 0.1387 0.0000 0.0200
F4 F 0.1830 0.5000 0.6344
```

---

[3]
A relaxed structure of Pr2H6PdRu. Source: the Alexandria database, functional PBE-GGA.

Properties
The value obtained for the electronic total energy is -98.490 eV per cell. For the volume, the calculation gives 109 Å³/f.u.

```
data_Pr2H6PdRu
_symmetry_space_group_name_H-M 'C 1 2/m 1'
_symmetry_Int_Tables_number 12
_symmetry_space_group_name_Hall '-C 2y'
_cell_length_a 7.5556
_cell_length_b 7.5949
_cell_length_c 5.3406
_cell_angle_alpha 90.00
_cell_angle_beta 134.89
_cell_angle_gamma 90.00
loop_
_atom_site_label
_atom_site_type_symbol
_atom_site_fract_x
_atom_site_fract_y
_atom_site_fract_z
Pr1 Pr 0.0000 0.2499 0.0000
H1 H 0.0000 0.2350 0.5000
H2 H 0.2351 0.0000 0.9708
H3 H 0.2360 0.0000 0.4996
Pd1 Pd 0.0000 0.5000 0.5000
Ru1 Ru 0.0000 0.0000 0.5000
```